TlReSiF2: relaxed, PBE.

Unit cell a=4.2563 b=5.7270 c=4.2563 alpha=90.00 beta=90.00 gamma=90.00
Last column: magnetic moment on the atom in μB.
Atoms (fractional coordinates):
1 Si 0.0000 0.5000 0.0000  -0.11
2 F 0.0000 0.0000 0.5000  0.02
3 Re 0.5000 0.5000 0.5000  3.36
4 F 0.5000 0.0000 0.0000  0.02
5 Tl 0.0000 0.0000 0.0000  0.03

* symmetry: P4/mmm
* magnetization: 3.88 μB per formula unit
* raw total energy: -4.47 eV per atom